Record 1
Mg9TlCd2: relaxed, PBE.

```
Mg9TlCd2
1.0
4.471 0.000 0.000
0.000 4.471 0.000
0.000 0.000 13.459
Mg Tl Cd
9 1 2
direct
0.500 0.500 0.000
0.500 0.500 0.336
0.500 0.500 0.664
0.500 0.000 0.171
0.500 0.000 0.500
0.500 0.000 0.829
0.000 0.500 0.171
0.000 0.500 0.500
0.000 0.500 0.829
0.000 0.000 0.000
0.000 0.000 0.335
0.000 0.000 0.665
```

## Properties
Total magnetic moment   0.000 μB per atom
ΔE_f   -58 meV/atom
SG   P4/mmm
Electronic total energy   -1.6040 eV/atom
DOS(E_F)   4.03 states/eV per cell



Record 2
FeSN3: relaxed, PBE.

```
FeSN3
1.0
-3.034 0.201 1.587
1.196 -1.974 2.537
1.062 2.798 1.676
S Fe N
1 1 3
direct
0.000 0.000 0.000
0.500 0.500 0.500
0.000 0.500 0.000
0.000 0.000 0.500
0.500 0.000 0.000
```

## Properties
Total magnetic moment   0.000 μB per atom
ΔE_f (raw)   1.937 eV/atom
SG   Pm-3m
Electronic total energy   -5.5766 eV/atom
DOS(E_F)   2.02 states/eV per cell



Record 3
InFe2Se: relaxed, PBE.

```
InFe2Se
1.0
-5.843 0.208 -0.480
-3.144 -1.425 -4.743
3.857 -1.431 4.182
Fe In Se
2 1 1
direct
0.011 0.011 0.000
0.816 0.316 0.500
0.475 0.475 0.000
0.199 0.699 0.500
```

## Properties
Total magnetic moment   1.166 μB per atom
ΔE_f (raw)   0.235 eV/atom
Polymorph energy (0 for the lowest one)   0.163 eV/atom
SG   Imm2
Electronic total energy   -5.5525 eV/atom
DOS(E_F)   3.36 states/eV per cell



Record 4
SiBAuN2: relaxed, PBE.

```
SiBAuN2
1.0
-3.015 -0.785 1.020
2.333 -0.289 6.676
-0.699 3.181 0.382
Si B Au N
1 1 1 2
direct
0.000 0.500 0.000
0.000 0.000 0.000
0.500 0.500 0.500
0.000 0.000 0.500
0.500 0.000 0.000
```

## Properties
Total magnetic moment   0.001 μB per atom
ΔE_f (raw)   1.301 eV/atom
SG   P4/mmm
Electronic total energy   -5.1047 eV/atom
DOS(E_F)   2.36 states/eV per cell



Record 5
Pr2FeSi: relaxed, PBE.

```
Pr2FeSi
1.0
-3.378 0.095 -0.924
-2.196 -2.483 1.133
-3.865 4.580 7.962
Pr Si Fe
2 1 1
direct
0.091 0.091 0.728
0.909 0.909 0.272
0.500 0.500 0.500
0.000 0.000 0.000
```

## Properties
Total magnetic moment   0.434 μB per atom
ΔE_f (raw)   0.543 eV/atom
SG   R-3m
Electronic total energy   -5.3181 eV/atom
DOS(E_F)   4.47 states/eV per cell



Record 6
LaScMn2: relaxed, PBE.

```
LaScMn2
1.0
4.652 0.000 0.000
0.000 3.377 0.024
0.000 1.656 5.594
La Mn Sc
1 2 1
direct
0.500 0.783 0.810
0.000 0.183 0.010
0.500 0.054 0.266
0.000 0.480 0.414
```

## Properties
Total magnetic moment   1.419 μB per atom
ΔE_f   237 meV/atom
SG   Pm
Electronic total energy   -7.1626 eV/atom
DOS(E_F)   4.53 states/eV per cell



Record 7
LiAg6Sn2: relaxed, PBE.

```
LiAg6Sn2
1.0
-3.888 5.732 1.519
-7.529 -0.358 -1.986
-3.581 -0.042 6.923
Li Ag Sn
2 12 4
direct
0.250 0.174 0.826
0.750 0.826 0.174
0.422 0.665 0.387
0.078 0.613 0.335
0.578 0.335 0.613
0.922 0.387 0.665
0.870 0.008 0.384
0.630 0.616 0.992
0.130 0.992 0.616
0.370 0.384 0.008
0.189 0.825 0.985
0.311 0.015 0.175
0.811 0.175 0.015
0.689 0.985 0.825
0.097 0.616 0.773
0.403 0.227 0.384
0.903 0.384 0.227
0.597 0.773 0.616
```

## Properties
Total magnetic moment   0.000 μB per atom
Polymorph energy (0 for the lowest one)   0.014 eV/atom
ΔE_f   -41 meV/atom
SG   C2/c
Electronic total energy   -3.0437 eV/atom
DOS(E_F)   5.20 states/eV per cell



Record 8
Na10B13C7: relaxed, PBE.

```
Na10B13C7
1.0
-0.762 -11.504 -0.149
2.060 -11.344 -0.167
-0.104 2.863 9.502
Na B C
10 13 7
direct
0.400 0.400 0.803
0.501 0.501 0.502
0.198 0.198 0.402
0.301 0.301 0.094
0.001 0.001 0.002
0.101 0.101 0.701
0.799 0.799 0.601
0.901 0.901 0.300
0.600 0.600 0.201
0.700 0.700 0.898
0.924 0.924 0.598
0.019 0.019 0.287
0.992 0.992 0.733
0.883 0.883 0.013
0.810 0.810 0.871
0.773 0.773 0.296
0.616 0.616 0.483
0.587 0.587 0.922
0.316 0.316 0.383
0.423 0.423 0.094
0.381 0.381 0.513
0.213 0.213 0.677
0.180 0.180 0.110
0.084 0.084 0.418
0.712 0.712 0.174
0.523 0.523 0.794
0.681 0.681 0.614
0.487 0.487 0.222
0.117 0.117 0.985
0.278 0.278 0.808
```

## Properties
Total magnetic moment   0.000 μB per atom
Polymorph energy (0 for the lowest one)   0.003 eV/atom
ΔE_f   88 meV/atom
SG   Cm
Electronic total energy   -5.3970 eV/atom
DOS(E_F)   7.35 states/eV per cell